# TmPuCo2O8, relaxed, DFT GGA+U
# VASP energy in Ha/atom: -0.2773
# Crystal system: tetragonal
data_TmPuCo2O8
_symmetry_space_group_name_H-M 'I -4 m 2'
_symmetry_Int_Tables_number 119
_symmetry_space_group_name_Hall 'I -4 -2'
_cell_length_a 6.849
_cell_length_b 6.849
_cell_length_c 6.613
_cell_angle_alpha 90.00
_cell_angle_beta 90.00
_cell_angle_gamma 90.00
loop_
_atom_site_label
_atom_site_type_symbol
_atom_site_fract_x
_atom_site_fract_y
_atom_site_fract_z
Tm1 Tm 0.000 0.000 0.000
Pu1 Pu 0.000 0.500 0.250
Co1 Co 0.000 0.000 0.500
Co2 Co 0.000 0.500 0.750
O1 O 0.000 0.207 0.304
O2 O 0.000 0.314 0.936